A relaxed structure of B4C. Source: Alexandria via LeMat-Bulk, functional PBE.

Theoretical density in g/cm³: 2.33
E_form in eV per formula unit: 2.31
D(E_F) in states/eV/atom: 0.05

abc: 7.5286 3.4520 3.0906
angles: 90.00 101.51 90.00
Closest atoms and distances in Å follow each position.
Space group Cm (No. 8)
Inequivalent atoms, fractional coordinates:
B: 0.0000 0.0000 0.0000  1 C 1.61, 2 B 1.77
B: 0.0298 0.2578 0.5248  1 C 1.57, 1 B 1.67
B: 0.3893 0.0000 0.8957  1 C 1.52
C: 0.1829 0.0000 0.8058  4 B 1.52-1.61